# 1
An optimized crystal structure of AlAg2. Source: Alexandria via LeMat-Bulk, functional GGA-PBE.

Lattice parameters (Å, degrees): 4.5397 4.5397 5.7459 90.00 90.00 120.00
Space group P6_3/mmc (No. 194)
Asymmetric unit:
Al: 0.3333 0.6667 0.2500 x2
Ag: 0.0000 0.0000 0.0000 x2
Ag: 0.3333 0.6667 0.7500 x2

Summary:
mass density	7.9	g/cm³
total magnetic moment	0.000	μB/cell
energy	-3.17	eV per atom



# 2
An optimized crystal structure of Al3Ag. Source: Alexandria via LeMat-Bulk, functional GGA-PBE.

Lattice parameters (Å, degrees): 2.839 3.026 8.358 90.00 90.00 90.00
Space group Pmm2 (No. 25)
Asymmetric unit:
Al: 0.000 0.000 0.000 x1
Al: 0.000 0.500 0.495 x1
Al: 0.500 0.500 0.773 x1
Ag: 0.500 0.000 0.275 x1

Summary:
mass density	4.4	g/cm³
total magnetic moment	0.000	μB/cell
energy	-3.47	eV per atom



# 3
An optimized crystal structure of AlAg2. Source: Alexandria via LeMat-Bulk, functional GGA-PBE.

Lattice parameters (Å, degrees): 10.522 2.952 6.798 90.00 103.08 90.00
Space group Cm (No. 8)
Asymmetric unit:
Al: 0.000 0.000 0.000 x2
Al: 0.184 0.500 0.361 x2
Ag: 0.065 0.000 0.614 x2
Ag: 0.216 0.500 0.971 x2
Ag: 0.342 0.000 0.685 x2
Ag: 0.402 0.000 0.277 x2

Summary:
mass density	7.8	g/cm³
total magnetic moment	0.000	μB/cell
energy	-3.21	eV per atom



# 4
An optimized crystal structure of Al2Ag13. Source: Alexandria via LeMat-Bulk, functional GGA-PBE.

Lattice parameters (Å, degrees): 7.4516 7.4516 19.4442 90.00 90.00 120.00
Space group R-3m (No. 166, hexagonal axes)
Asymmetric unit:
Al: 0.0000 0.0000 0.1317 x6
Ag: 0.0000 0.0000 0.0000 x3
Ag: 0.0754 0.5377 0.4298 x18
Ag: 0.0838 0.5419 0.2834 x18

Summary:
mass density	7.8	g/cm³
total magnetic moment	0.000	μB/cell
offset from the most stable computed form	197.9	meV/atom
energy	-2.79	eV per atom



# 5
An optimized crystal structure of Al5Ag3. Source: Alexandria via LeMat-Bulk, functional GGA-PBE.

Lattice parameters (Å, degrees): 6.768 2.911 7.239 90.00 108.69 90.00
Space group P2/m (No. 10)
Asymmetric unit:
Al: 0.000 0.000 0.000 x1
Al: 0.124 0.500 0.374 x2
Al: 0.251 0.000 0.750 x2
Ag: 0.367 0.500 0.121 x2
Ag: 0.500 0.000 0.500 x1

Summary:
mass density	5.6	g/cm³
total magnetic moment	0.000	μB/cell
offset from the most stable computed form	14.6	meV/atom
energy	-3.43	eV per atom



# 6
An optimized crystal structure of Al6Ag. Source: Alexandria via LeMat-Bulk, functional GGA-PBE.

Lattice parameters (Å, degrees): 4.124 4.806 6.473 83.76 89.81 67.37
Space group P-1 (No. 2)
Asymmetric unit:
Al: 0.070 0.362 0.209 x2
Al: 0.217 0.064 0.646 x2
Al: 0.356 0.790 0.073 x2
Ag: 0.500 0.500 0.500 x1

Summary:
mass density	3.8	g/cm³
total magnetic moment	0.000	μB/cell
offset from the most stable computed form	19.4	meV/atom
energy	-3.61	eV per atom



# 7
An optimized crystal structure of AlAg. Source: Alexandria via LeMat-Bulk, functional GGA-PBE.

Lattice parameters (Å, degrees): 4.851 5.327 5.695 94.49 106.99 100.14
Space group P1 (No. 1)
Asymmetric unit:
Al: 0.000 0.000 0.000 x1
Al: 0.001 0.496 0.258 x1
Al: 0.006 0.004 0.498 x1
Al: 0.510 0.744 0.125 x1
Ag: 0.017 0.511 0.761 x1
Ag: 0.490 0.239 0.373 x1
Ag: 0.507 0.248 0.884 x1
Ag: 0.511 0.760 0.616 x1

Summary:
mass density	6.5	g/cm³
total magnetic moment	0.000	μB/cell
energy	-3.30	eV per atom



# 8
An optimized crystal structure of Al3Ag. Source: Alexandria via LeMat-Bulk, functional GGA-PBE.

Lattice parameters (Å, degrees): 4.925 5.001 5.829 107.93 90.69 98.44
Space group P-1 (No. 2)
Asymmetric unit:
Al: 0.126 0.255 0.183 x2
Al: 0.129 0.248 0.693 x2
Al: 0.367 0.751 0.064 x2
Ag: 0.369 0.753 0.569 x2

Summary:
mass density	4.7	g/cm³
total magnetic moment	0.000	μB/cell
energy	-3.53	eV per atom